# 1
Here is ReSbBr2 after structural relaxation from the Alexandria database. Energies are from PBE-GGA.

The structure in POSCAR format:
```
ReSbBr2
1.0
4.3804 0.0000 0.0000
0.0000 3.2659 0.0000
-2.0532 0.0000 7.5549
Re Sb Br
1 1 2
direct
0.0000 0.0000 0.0000
0.4289 0.5000 0.8963
0.0992 0.5000 0.2573
0.7977 0.0000 0.6554
```

Values from the calculation:
size of the total moment = 0.00 μB/cell
DFT total energy = -18.8 eV/cell
formation energy (no corrections) = 278.3 meV/atom
V = 108 Å³ per cell
polymorph energy (0 for the lowest one) = 39 meV/atom

---

# 2
Here is AcDyHg after structural relaxation from the Alexandria database. Energies are from PBE-GGA.

The structure in POSCAR format:
```
AcDyHg
1.0
5.3043 0.0000 0.0000
-2.6522 4.5937 0.0000
0.0000 0.0000 4.0991
Ac Dy Hg
1 1 1
direct
0.0000 0.0000 0.0000
0.3333 0.6667 0.5000
0.6667 0.3333 0.5000
```

Values from the calculation:
size of the total moment = 0.00 μB/cell
DFT total energy = -9.6 eV/cell
V = 100 Å³ per cell
polymorph energy (0 for the lowest one) = 128 meV/atom

---

# 3
Here is Mo3Os2 after structural relaxation from the Alexandria database. Energies are from PBE-GGA.

The structure in POSCAR format:
```
Mo3Os2
1.0
6.8184 -6.8251 0.0000
6.8184 6.8251 0.0000
0.0000 0.0000 4.9707
Mo Os
18 12
direct
0.0387 0.6300 0.0014
0.1047 0.8953 0.0000
0.1315 0.4635 0.5011
0.1801 0.1801 0.2508
0.1807 0.1807 0.7535
0.3203 0.6797 0.7513
0.3700 0.9613 0.0014
0.3954 0.3954 0.5042
0.4635 0.1315 0.5011
0.5365 0.8685 0.5011
0.6046 0.6046 0.5042
0.6300 0.0387 0.0014
0.6797 0.3203 0.7513
0.8193 0.8193 0.7535
0.8199 0.8199 0.2508
0.8685 0.5365 0.5011
0.8953 0.1047 0.0000
0.9613 0.3700 0.0014
0.0000 0.0000 0.5043
0.0704 0.7359 0.4988
0.2362 0.4326 0.0050
0.2641 0.9296 0.4988
0.3202 0.6798 0.2533
0.4326 0.2362 0.0050
0.5000 0.5000 0.0070
0.5674 0.7638 0.0050
0.6798 0.3202 0.2533
0.7359 0.0704 0.4988
0.7638 0.5674 0.0050
0.9296 0.2641 0.4988
```

Values from the calculation:
size of the total moment = 0.00 μB/cell
DFT total energy = -329.5 eV/cell
V = 463 Å³ per cell
polymorph energy (0 for the lowest one) = 0 meV/atom

---

# 4
Here is ErTiGaHg after structural relaxation from the Alexandria database. Energies are from PBE-GGA.

The structure in POSCAR format:
```
ErTiGaHg
1.0
6.9408 0.0000 0.0000
0.0000 6.9408 0.0000
0.0000 0.0000 6.9408
Er Ti Ga Hg
4 4 4 4
direct
0.0000 0.0000 0.0000
0.0000 0.5000 0.5000
0.5000 0.0000 0.5000
0.5000 0.5000 0.0000
0.0000 0.0000 0.5000
0.0000 0.5000 0.0000
0.5000 0.0000 0.0000
0.5000 0.5000 0.5000
0.2500 0.2500 0.7500
0.2500 0.7500 0.2500
0.7500 0.2500 0.2500
0.7500 0.7500 0.7500
0.2500 0.2500 0.2500
0.2500 0.7500 0.7500
0.7500 0.2500 0.7500
0.7500 0.7500 0.2500
```

Values from the calculation:
size of the total moment = 6.50 μB/cell
DFT total energy = -67.2 eV/cell
V = 334 Å³ per cell

---

# 5
Here is LiPbIO5 after structural relaxation from the Alexandria database. Energies are from PBE-GGA.

The structure in POSCAR format:
```
LiPbIO5
1.0
3.5999 -5.1036 0.0000
3.5999 5.1036 0.0000
-2.5917 0.0000 6.8217
Li Pb I O
2 2 2 10
direct
0.0048 0.9952 0.7500
0.9952 0.0048 0.2500
0.0000 0.5000 0.0000
0.5000 0.0000 0.5000
0.4974 0.5026 0.7500
0.5026 0.4974 0.2500
0.1491 0.2539 0.1153
0.1886 0.8114 0.2500
0.2539 0.1491 0.6153
0.3595 0.6226 0.9293
0.3774 0.6405 0.5707
0.6226 0.3595 0.4293
0.6405 0.3774 0.0707
0.7461 0.8509 0.3847
0.8114 0.1886 0.7500
0.8509 0.7461 0.8847
```

Values from the calculation:
size of the total moment = 0.00 μB/cell
DFT total energy = -74.9 eV/cell
formation energy (no corrections) = -688.4 meV/atom
V = 251 Å³ per cell

---

# 6
Here is TaMo2Se after structural relaxation from the Alexandria database. Energies are from PBE-GGA.

The structure in POSCAR format:
```
TaMo2Se
1.0
3.2918 0.0000 0.0000
0.0000 4.8437 0.0000
0.0000 0.0000 8.5313
Ta Mo Se
2 4 2
direct
0.0000 0.0000 0.0000
0.5000 0.5000 0.0000
0.0000 0.5000 0.2526
0.0000 0.5000 0.7474
0.5000 0.0000 0.2526
0.5000 0.0000 0.7474
0.0000 0.0000 0.5000
0.5000 0.5000 0.5000
```

Values from the calculation:
size of the total moment = 0.00 μB/cell
DFT total energy = -72.1 eV/cell
formation energy (no corrections) = 233.5 meV/atom
V = 136 Å³ per cell

---

# 7
Here is Mn5Co3H12 after structural relaxation from the Alexandria database. Energies are from PBE-GGA.

The structure in POSCAR format:
```
Mn5Co3H12
1.0
-5.1104 5.1104 5.1104
5.1104 -5.1104 5.1104
5.1104 5.1104 -5.1104
Mn Co H
20 12 48
direct
0.0000 0.0000 0.0000
0.0000 0.0000 0.5000
0.0000 0.5000 0.0000
0.0000 0.5000 0.5000
0.1250 0.7500 0.8750
0.1250 0.8750 0.2500
0.2500 0.1250 0.8750
0.2500 0.6250 0.3750
0.3750 0.2500 0.6250
0.3750 0.6250 0.7500
0.5000 0.0000 0.0000
0.5000 0.0000 0.5000
0.5000 0.5000 0.0000
0.5000 0.5000 0.5000
0.6250 0.3750 0.2500
0.6250 0.7500 0.3750
0.7500 0.3750 0.6250
0.7500 0.8750 0.1250
0.8750 0.1250 0.7500
0.8750 0.2500 0.1250
0.1250 0.2500 0.3750
0.1250 0.3750 0.7500
0.2500 0.3750 0.1250
0.2500 0.8750 0.6250
0.3750 0.1250 0.2500
0.3750 0.7500 0.1250
0.6250 0.2500 0.8750
0.6250 0.8750 0.7500
0.7500 0.1250 0.3750
0.7500 0.6250 0.8750
0.8750 0.6250 0.2500
0.8750 0.7500 0.6250
0.0634 0.2221 0.1510
0.0634 0.3413 0.9123
0.0710 0.7221 0.6587
0.0710 0.8490 0.4123
0.0877 0.6510 0.4290
0.0877 0.9366 0.6587
0.1510 0.0634 0.2221
0.1510 0.5877 0.9290
0.1587 0.2221 0.5710
0.1587 0.4366 0.5877
0.2221 0.1510 0.0634
0.2221 0.5710 0.1587
0.2779 0.3413 0.9290
0.2779 0.4366 0.3490
0.3413 0.9123 0.0634
0.3413 0.9290 0.2779
0.3490 0.2779 0.4366
0.3490 0.5710 0.9123
0.4123 0.0710 0.8490
0.4123 0.8413 0.5634
0.4290 0.0877 0.6510
0.4290 0.8413 0.7779
0.4366 0.3490 0.2779
0.4366 0.5877 0.1587
0.5634 0.4123 0.8413
0.5634 0.6510 0.7221
0.5710 0.1587 0.2221
0.5710 0.9123 0.3490
0.5877 0.1587 0.4366
0.5877 0.9290 0.1510
0.6510 0.4290 0.0877
0.6510 0.7221 0.5634
0.6587 0.0710 0.7221
0.6587 0.0877 0.9366
0.7221 0.5634 0.6510
0.7221 0.6587 0.0710
0.7779 0.4290 0.8413
0.7779 0.8490 0.9366
0.8413 0.5634 0.4123
0.8413 0.7779 0.4290
0.8490 0.4123 0.0710
0.8490 0.9366 0.7779
0.9123 0.0634 0.3413
0.9123 0.3490 0.5710
0.9290 0.1510 0.5877
0.9290 0.2779 0.3413
0.9366 0.6587 0.0877
0.9366 0.7779 0.8490
```

Values from the calculation:
size of the total moment = 70.28 μB/cell
DFT total energy = -417.5 eV/cell
V = 534 Å³ per cell

---

# 8
Here is PrZn6CuNi after structural relaxation from the Alexandria database. Energies are from PBE-GGA.

The structure in POSCAR format:
```
PrZn6CuNi
1.0
-3.4719 4.1827 6.3352
3.4719 -4.1827 6.3352
3.4719 4.1827 -6.3352
Pr Zn Cu Ni
2 12 2 2
direct
0.3823 0.1323 0.2500
0.6177 0.8677 0.7500
0.1358 0.8858 0.2500
0.1405 0.4576 0.2943
0.1405 0.8462 0.6829
0.3367 0.1538 0.7943
0.3367 0.5424 0.1829
0.3437 0.5937 0.7500
0.6563 0.4063 0.2500
0.6633 0.4576 0.8171
0.6633 0.8462 0.2057
0.8595 0.1538 0.3171
0.8595 0.5424 0.7057
0.8642 0.1142 0.7500
0.0000 0.0000 0.5000
0.0000 0.5000 0.0000
0.0000 0.5000 0.5000
0.5000 0.5000 0.0000
```

Values from the calculation:
size of the total moment = 0.00 μB/cell
DFT total energy = -41.3 eV/cell
V = 368 Å³ per cell

---

# 9
Here is Li3Ac2NiPd12 after structural relaxation from the Alexandria database. Energies are from PBE-GGA.

The structure in POSCAR format:
```
Li3Ac2NiPd12
1.0
2.8997 1.6742 11.4177
-2.8997 1.6742 11.4177
0.0000 -3.3483 11.4177
Li Ac Ni Pd
3 2 1 12
direct
0.0000 0.5000 0.5000
0.5000 0.0000 0.5000
0.5000 0.5000 0.0000
0.1371 0.1371 0.1371
0.8629 0.8629 0.8629
0.5000 0.5000 0.5000
0.1071 0.1071 0.6378
0.1071 0.6378 0.1071
0.1122 0.6104 0.6104
0.3622 0.8929 0.8929
0.3896 0.3896 0.8878
0.3896 0.8878 0.3896
0.6104 0.1122 0.6104
0.6104 0.6104 0.1122
0.6378 0.1071 0.1071
0.8878 0.3896 0.3896
0.8929 0.3622 0.8929
0.8929 0.8929 0.3622
```

Values from the calculation:
size of the total moment = 0.00 μB/cell
DFT total energy = -86.7 eV/cell
V = 333 Å³ per cell

---

# 10
Here is SiNi8 after structural relaxation from the Alexandria database. Energies are from PBE-GGA.

The structure in POSCAR format:
```
SiNi8
1.0
-3.7095 3.7095 1.7650
3.7095 -3.7095 1.7650
3.7095 3.7095 -1.7650
Si Ni
1 8
direct
0.0000 0.0000 0.0000
0.0000 0.3316 0.3316
0.0000 0.6684 0.6684
0.3316 0.0000 0.3316
0.3354 0.3354 0.6708
0.3354 0.6646 0.0000
0.6646 0.3354 0.0000
0.6646 0.6646 0.3292
0.6684 0.0000 0.6684
```

Values from the calculation:
size of the total moment = 2.38 μB/cell
DFT total energy = -53.3 eV/cell
formation energy (no corrections) = -181.9 meV/atom
V = 97 Å³ per cell

---

# 11
Here is K2SiPd after structural relaxation from the Alexandria database. Energies are from PBE-GGA.

The structure in POSCAR format:
```
K2SiPd
1.0
12.4939 0.0000 0.0000
0.0000 12.4939 0.0000
0.0000 0.0000 4.5767
K Si Pd
8 4 4
direct
0.0371 0.2500 0.1250
0.2500 0.5371 0.3750
0.2500 0.9629 0.8750
0.4629 0.2500 0.6250
0.5371 0.7500 0.6250
0.7500 0.0371 0.8750
0.7500 0.4629 0.3750
0.9629 0.7500 0.1250
0.0000 0.0000 0.5000
0.0000 0.5000 0.7500
0.5000 0.0000 0.2500
0.5000 0.5000 0.0000
0.0000 0.0000 0.0000
0.0000 0.5000 0.2500
0.5000 0.0000 0.7500
0.5000 0.5000 0.5000
```

Values from the calculation:
size of the total moment = 0.00 μB/cell
DFT total energy = -51.8 eV/cell
formation energy (no corrections) = -35.3 meV/atom
V = 714 Å³ per cell

---

# 12
Here is MnVAgCl6 after structural relaxation from the Alexandria database. Energies are from PBE-GGA.

The structure in POSCAR format:
```
MnVAgCl6
1.0
6.3355 0.0000 0.0000
-3.1678 5.4867 0.0000
0.0000 0.0000 11.9830
Mn V Ag Cl
2 2 2 12
direct
0.3333 0.6667 0.2500
0.6667 0.3333 0.7500
0.3333 0.6667 0.7500
0.6667 0.3333 0.2500
0.0000 0.0000 0.0000
0.0000 0.0000 0.5000
0.0132 0.3657 0.6352
0.0132 0.6475 0.8648
0.3525 0.3657 0.8648
0.3525 0.9868 0.6352
0.3657 0.0132 0.1352
0.3657 0.3525 0.3648
0.6343 0.6475 0.6352
0.6343 0.9868 0.8648
0.6475 0.0132 0.3648
0.6475 0.6343 0.1352
0.9868 0.3525 0.1352
0.9868 0.6343 0.3648
```

Values from the calculation:
size of the total moment = 14.00 μB/cell
DFT total energy = -82.2 eV/cell
formation energy (no corrections) = -989.1 meV/atom
V = 417 Å³ per cell

---

# 13
Here is In2MoP after structural relaxation from the Alexandria database. Energies are from PBE-GGA.

The structure in POSCAR format:
```
In2MoP
1.0
4.1665 0.0000 0.0000
0.0000 4.1665 0.0000
0.0000 0.0000 8.7712
In Mo P
4 2 2
direct
0.0000 0.0000 0.0000
0.0000 0.5000 0.2500
0.5000 0.0000 0.7500
0.5000 0.5000 0.5000
0.0000 0.5000 0.7500
0.5000 0.0000 0.2500
0.0000 0.0000 0.5000
0.5000 0.5000 0.0000
```

Values from the calculation:
size of the total moment = 2.72 μB/cell
DFT total energy = -39.4 eV/cell
V = 152 Å³ per cell

---

# 14
Here is La2HoTh after structural relaxation from the Alexandria database. Energies are from PBE-GGA.

The structure in POSCAR format:
```
La2HoTh
1.0
3.6296 0.0000 0.0000
0.0000 3.6296 0.0000
0.0000 0.0000 10.3442
La Ho Th
2 1 1
direct
0.0000 0.0000 0.2421
0.0000 0.0000 0.7579
0.5000 0.5000 0.5000
0.5000 0.5000 0.0000
```

Values from the calculation:
size of the total moment = 0.00 μB/cell
DFT total energy = -21.6 eV/cell
V = 136 Å³ per cell
polymorph energy (0 for the lowest one) = 28 meV/atom

---

# 15
Here is Li2TlTe after structural relaxation from the Alexandria database. Energies are from PBE-GGA.

The structure in POSCAR format:
```
Li2TlTe
1.0
7.5099 0.0000 0.0000
0.0000 7.5099 0.0000
0.0000 0.0000 7.5099
Li Tl Te
8 4 4
direct
0.0000 0.0000 0.0000
0.0000 0.5000 0.5000
0.2500 0.2500 0.2500
0.2500 0.7500 0.7500
0.5000 0.0000 0.5000
0.5000 0.5000 0.0000
0.7500 0.2500 0.7500
0.7500 0.7500 0.2500
0.0000 0.0000 0.5000
0.0000 0.5000 0.0000
0.5000 0.0000 0.0000
0.5000 0.5000 0.5000
0.2500 0.2500 0.7500
0.2500 0.7500 0.2500
0.7500 0.2500 0.2500
0.7500 0.7500 0.7500
```

Values from the calculation:
size of the total moment = 0.00 μB/cell
DFT total energy = -41.8 eV/cell
formation energy (no corrections) = -279.8 meV/atom
V = 424 Å³ per cell
polymorph energy (0 for the lowest one) = 272 meV/atom

---

# 16
Here is Ce2BrO after structural relaxation from the Alexandria database. Energies are from PBE-GGA.

The structure in POSCAR format:
```
Ce2BrO
1.0
3.6310 0.0000 0.0000
-1.8155 3.1445 0.0000
0.0000 0.0000 21.9227
Ce Br O
6 3 3
direct
0.0000 0.0000 0.2285
0.0000 0.0000 0.7715
0.3333 0.6667 0.4381
0.3333 0.6667 0.8952
0.6667 0.3333 0.1048
0.6667 0.3333 0.5619
0.0000 0.0000 0.0000
0.3333 0.6667 0.6667
0.6667 0.3333 0.3333
0.0000 0.0000 0.5000
0.3333 0.6667 0.1667
0.6667 0.3333 0.8333
```

Values from the calculation:
size of the total moment = 4.23 μB/cell
DFT total energy = -78.7 eV/cell
formation energy (no corrections) = -1935.8 meV/atom
V = 250 Å³ per cell
polymorph energy (0 for the lowest one) = 0 meV/atom

---

# 17
Here is Ni3Br after structural relaxation from the Alexandria database. Energies are from PBE-GGA.

The structure in POSCAR format:
```
Ni3Br
1.0
3.0659 0.0000 0.0000
0.0000 3.9879 0.0000
0.0000 0.0000 4.4697
Ni Br
3 1
direct
0.0000 0.0000 0.0000
0.0000 0.5000 0.3278
0.5000 0.5000 0.8850
0.5000 0.0000 0.5459
```

Values from the calculation:
size of the total moment = 1.72 μB/cell
DFT total energy = -16.7 eV/cell
formation energy (no corrections) = 574.3 meV/atom
V = 55 Å³ per cell
polymorph energy (0 for the lowest one) = 274 meV/atom

---

# 18
Here is NaInAsSe2 after structural relaxation from the Alexandria database. Energies are from PBE-GGA.

The structure in POSCAR format:
```
NaInAsSe2
1.0
5.2584 0.0000 0.0000
0.0000 5.2584 0.0000
0.0000 0.0000 5.0999
Na In As Se
1 1 1 2
direct
0.0000 0.0000 0.0000
0.5000 0.5000 0.5000
0.0000 0.0000 0.5000
0.0000 0.5000 0.0000
0.5000 0.0000 0.0000
```

Values from the calculation:
size of the total moment = 0.00 μB/cell
DFT total energy = -12.9 eV/cell
formation energy (no corrections) = 549.0 meV/atom
V = 141 Å³ per cell
polymorph energy (0 for the lowest one) = 430 meV/atom

---

# 19
Here is PrBi3Au8 after structural relaxation from the Alexandria database. Energies are from PBE-GGA.

The structure in POSCAR format:
```
PrBi3Au8
1.0
2.8570 1.6495 9.4602
-2.8570 1.6495 9.4602
0.0000 -3.2990 9.4602
Pr Bi Au
1 3 8
direct
0.0000 0.0000 0.0000
0.1279 0.1279 0.1279
0.4992 0.4992 0.4992
0.6219 0.6219 0.6219
0.0609 0.5624 0.5624
0.0625 0.0625 0.5648
0.0625 0.5648 0.0625
0.3131 0.3131 0.3131
0.5624 0.0609 0.5624
0.5624 0.5624 0.0609
0.5648 0.0625 0.0625
0.8124 0.8124 0.8124
```

Values from the calculation:
size of the total moment = 0.00 μB/cell
DFT total energy = -45.6 eV/cell
V = 267 Å³ per cell

---

# 20
Here is Be2RePb after structural relaxation from the Alexandria database. Energies are from PBE-GGA.

The structure in POSCAR format:
```
Be2RePb
1.0
3.1541 0.0000 0.0000
0.0000 3.1541 0.0000
0.0000 0.0000 6.0453
Be Re Pb
2 1 1
direct
0.0000 0.0000 0.0000
0.5000 0.5000 0.1985
0.5000 0.5000 0.8356
0.0000 0.0000 0.5020
```

Values from the calculation:
size of the total moment = 0.00 μB/cell
DFT total energy = -21.1 eV/cell
V = 60 Å³ per cell